This record from Alexandria via LeMat-Bulk describes Ho4Ru after structural relaxation. The functional is PBE. Values from VASP.

Properties
The formation energy from the elements is -0.287 eV/f.u. The value obtained for the calculated density is 8.21 g/cm3. As for the volume: 30.78 A^3/atom. Its offset from the most stable computed form is 9.8 kJ per mole of atoms. The raw total energy is -27.87 eV/cell. The calculation puts the density of states at the Fermi level at 7.61 states/eV/f.u.

Cell and atoms, written as Quantum ESPRESSO input:
```
&SYSTEM
  ibrav = 0, nat = 5, ntyp = 2
/
ATOMIC_SPECIES
Ho 164.93 Ho.upf
Ru 101.07 Ru.upf
ATOMIC_POSITIONS crystal
Ho 0.5000 0.0000 0.5000
Ho 0.5000 0.5000 0.0000
Ho 0.0000 0.5000 0.5000
Ho 0.0000 0.0000 0.0000
Ru 0.5000 0.5000 0.5000
CELL_PARAMETERS angstrom
5.3590 0.0000 0.0000
0.0000 5.3590 0.0000
0.0000 0.0000 5.3590
```